(1)
## DyLuCd2 (PBE)

Data for a relaxed DyLuCd2 crystal.

The structure in POSCAR format:
```
DyLuCd2
1.0
3.687 0.000 0.000
0.000 3.687 0.000
0.000 0.000 7.492
Dy Lu Cd
1 1 2
Direct
0.000 0.000 0.000
0.000 0.000 0.500
0.500 0.500 0.259
0.500 0.500 0.741
```

- SG: No. 123
- Calculated formation energy: -1.236 eV/f.u.
- Distance to the lowest polymorph of the same formula: 0.0047 eV per atom
- Total magnetization: 0.01 Bohr magnetons per cell

(2)
## TmSc3 (PBE)

Data for a relaxed TmSc3 crystal.

The structure in POSCAR format:
```
TmSc3
1.0
3.382 0.000 0.000
0.000 5.243 0.000
0.000 0.000 5.843
Tm Sc
1 3
Direct
0.000 0.000 0.000
0.000 0.500 0.662
0.500 0.000 0.498
0.500 0.500 0.169
```

- SG: No. 25
- Calculated formation energy: 0.057 eV/f.u.
- Distance to the lowest polymorph of the same formula: 0.0009 eV per atom
- Total magnetization: 0.00 Bohr magnetons per cell

(3)
## Sr2LaBr (PBE)

Data for a relaxed Sr2LaBr crystal.

The structure in POSCAR format:
```
Sr2LaBr
1.0
4.019 0.000 0.000
0.000 3.946 0.000
-0.308 0.000 10.860
Sr La Br
2 1 1
Direct
0.020 0.000 0.269
0.980 0.000 0.731
0.500 0.500 0.000
0.000 0.500 0.500
```

- SG: No. 10
- Total DFT energy (no corrections): -3.109 eV per atom
- Total magnetization: 0.00 Bohr magnetons per cell

(4)
## Fe4CoIr (PBE)

Data for a relaxed Fe4CoIr crystal.

The structure in POSCAR format:
```
Fe4CoIr
1.0
0.000 3.298 3.298
3.298 0.000 3.298
3.298 3.298 0.000
Fe Co Ir
4 1 1
Direct
0.125 0.125 0.125
0.125 0.125 0.624
0.125 0.624 0.125
0.624 0.125 0.125
0.500 0.500 0.500
0.750 0.750 0.750
```

- SG: No. 216
- Calculated formation energy: 0.738 eV/f.u.
- Distance to the lowest polymorph of the same formula: 0.1605 eV per atom
- Total magnetization: 10.18 Bohr magnetons per cell

(5)
## Ac5LaPm12 (PBE)

Data for a relaxed Ac5LaPm12 crystal.

The structure in POSCAR format:
```
Ac5LaPm12
1.0
6.162 -8.882 0.000
6.162 8.882 0.000
-0.041 0.000 6.197
Ac La Pm
5 1 12
Direct
0.000 0.000 0.000
0.165 0.835 0.500
0.334 0.666 0.000
0.666 0.334 0.000
0.835 0.165 0.500
0.500 0.500 0.500
0.018 0.351 0.944
0.152 0.485 0.445
0.188 0.188 0.564
0.319 0.319 0.066
0.351 0.018 0.944
0.485 0.152 0.445
0.515 0.848 0.555
0.649 0.982 0.056
0.681 0.681 0.934
0.812 0.812 0.436
0.848 0.515 0.555
0.982 0.649 0.056
```

- SG: No. 12
- Calculated formation energy: 1.391 eV/f.u.
- Total magnetization: 0.00 Bohr magnetons per cell

(6)
## CaTlCo2 (PBE)

Data for a relaxed CaTlCo2 crystal.

The structure in POSCAR format:
```
CaTlCo2
1.0
-3.753 3.753 2.902
3.753 -3.753 2.902
3.753 3.753 -2.902
Ca Tl Co
2 2 4
Direct
0.000 0.000 0.000
0.750 0.250 0.500
0.250 0.750 0.500
0.500 0.500 0.000
0.150 0.625 0.025
0.375 0.400 0.525
0.600 0.125 0.975
0.875 0.850 0.475
```

- SG: No. 122
- Calculated formation energy: 2.945 eV/f.u.
- Total magnetization: 5.15 Bohr magnetons per cell

(7)
## CaFeCo2 (PBE)

Data for a relaxed CaFeCo2 crystal.

The structure in POSCAR format:
```
CaFeCo2
1.0
4.729 0.000 0.000
0.000 2.671 0.000
-2.313 0.000 4.593
Ca Fe Co
1 1 2
Direct
0.000 0.000 0.000
0.000 0.500 0.500
0.500 0.000 0.500
0.500 0.500 0.000
```

- SG: No. 10
- Calculated formation energy: 2.350 eV/f.u.
- Distance to the lowest polymorph of the same formula: 0.4354 eV per atom
- Total magnetization: 5.23 Bohr magnetons per cell

(8)
## La3NdY (PBE)

Data for a relaxed La3NdY crystal.

The structure in POSCAR format:
```
La3NdY
1.0
7.877 -6.889 0.000
7.877 6.889 0.000
-1.736 0.000 6.547
La Nd Y
12 4 4
Direct
0.088 0.717 0.561
0.111 0.487 0.846
0.237 0.363 0.349
0.283 0.912 0.939
0.363 0.237 0.849
0.487 0.111 0.346
0.513 0.889 0.654
0.637 0.763 0.151
0.717 0.088 0.061
0.763 0.637 0.651
0.889 0.513 0.154
0.912 0.283 0.439
0.308 0.692 0.250
0.435 0.565 0.750
0.565 0.435 0.250
0.692 0.308 0.750
0.031 0.167 0.942
0.167 0.031 0.442
0.833 0.969 0.558
0.969 0.833 0.058
```

- SG: No. 15
- Calculated formation energy: 0.231 eV/f.u.
- Distance to the lowest polymorph of the same formula: 0.0000 eV per atom
- Total magnetization: 0.00 Bohr magnetons per cell

(9)
## LiErMgCo (PBE)

Data for a relaxed LiErMgCo crystal.

The structure in POSCAR format:
```
LiErMgCo
1.0
0.000 3.295 3.295
3.295 0.000 3.295
3.295 3.295 0.000
Li Er Mg Co
1 1 1 1
Direct
0.000 0.000 0.000
0.750 0.750 0.750
0.250 0.250 0.250
0.500 0.500 0.500
```

- SG: No. 216
- Calculated formation energy: -0.008 eV/f.u.
- Total magnetization: 0.00 Bohr magnetons per cell

(10)
## Pm2TmPt (PBE)

Data for a relaxed Pm2TmPt crystal.

The structure in POSCAR format:
```
Pm2TmPt
1.0
1.719 0.993 11.254
-1.719 0.993 11.254
0.000 -1.985 11.254
Pm Tm Pt
2 1 1
Direct
0.080 0.080 0.080
0.920 0.920 0.920
0.500 0.500 0.500
0.000 0.000 0.000
```

- SG: No. 166
- Calculated formation energy: 0.514 eV/f.u.
- Distance to the lowest polymorph of the same formula: 0.7962 eV per atom
- Total magnetization: 0.00 Bohr magnetons per cell

(11)
## LiGaPb2 (PBE)

Data for a relaxed LiGaPb2 crystal.

The structure in POSCAR format:
```
LiGaPb2
1.0
1.674 0.967 10.688
-1.674 0.967 10.688
0.000 -1.933 10.688
Li Ga Pb
1 1 2
Direct
0.000 0.000 0.000
0.500 0.500 0.500
0.409 0.409 0.409
0.591 0.591 0.591
```

- SG: No. 166
- Calculated formation energy: 0.141 eV/f.u.
- Total magnetization: 0.00 Bohr magnetons per cell

(12)
## TaRuS2Cl (PBE)

Data for a relaxed TaRuS2Cl crystal.

The structure in POSCAR format:
```
TaRuS2Cl
1.0
4.572 0.000 0.000
0.000 4.572 0.000
0.000 0.000 4.531
Ta Ru S Cl
1 1 2 1
Direct
0.000 0.000 0.000
0.500 0.500 0.500
0.000 0.500 0.500
0.500 0.000 0.500
0.500 0.500 0.000
```

- SG: No. 123
- Distance to the lowest polymorph of the same formula: 0.4505 eV per atom
- Total magnetization: 0.00 Bohr magnetons per cell

(13)
## Na2ErPa2Te6 (PBE)

Data for a relaxed Na2ErPa2Te6 crystal.

The structure in POSCAR format:
```
Na2ErPa2Te6
1.0
3.764 -6.526 0.000
3.764 6.526 0.000
-2.516 0.000 7.733
Na Er Pa Te
2 1 2 6
Direct
0.166 0.834 0.000
0.834 0.166 0.000
0.000 0.000 0.500
0.333 0.667 0.500
0.667 0.333 0.500
0.081 0.409 0.734
0.255 0.255 0.266
0.409 0.081 0.734
0.591 0.919 0.266
0.745 0.745 0.734
0.919 0.591 0.266
```

- SG: No. 12
- Total DFT energy (no corrections): -5.087 eV per atom
- Total magnetization: 3.02 Bohr magnetons per cell

(14)
## PrPu2Os (PBE)

Data for a relaxed PrPu2Os crystal.

The structure in POSCAR format:
```
PrPu2Os
1.0
15.067 0.000 0.000
0.000 9.109 0.000
0.000 0.000 6.093
Pr Pu Os
8 16 8
Direct
0.108 0.250 0.232
0.142 0.750 0.984
0.358 0.250 0.484
0.392 0.750 0.732
0.608 0.250 0.268
0.642 0.750 0.516
0.858 0.250 0.016
0.892 0.750 0.768
0.038 0.058 0.737
0.038 0.442 0.737
0.213 0.559 0.460
0.213 0.941 0.460
0.287 0.059 0.960
0.287 0.441 0.960
0.462 0.558 0.237
0.462 0.942 0.237
0.538 0.058 0.763
0.538 0.442 0.763
0.713 0.559 0.040
0.713 0.941 0.040
0.787 0.059 0.540
0.787 0.441 0.540
0.962 0.558 0.263
0.962 0.942 0.263
0.071 0.750 0.501
0.179 0.250 0.727
0.321 0.750 0.227
0.429 0.250 0.001
0.571 0.750 0.999
0.679 0.250 0.773
0.821 0.750 0.273
0.929 0.250 0.499
```

- SG: No. 62
- Calculated formation energy: 0.044 eV/f.u.
- Distance to the lowest polymorph of the same formula: 0.0000 eV per atom
- Total magnetization: 89.29 Bohr magnetons per cell

(15)
## Cs4K2GaPb2 (PBE)

Data for a relaxed Cs4K2GaPb2 crystal.

The structure in POSCAR format:
```
Cs4K2GaPb2
1.0
8.019 -4.358 0.000
8.019 4.358 0.000
-2.417 0.000 7.154
Cs K Ga Pb
4 2 1 2
Direct
0.111 0.641 0.759
0.359 0.889 0.241
0.641 0.111 0.759
0.889 0.359 0.241
0.357 0.357 0.216
0.643 0.643 0.784
0.000 0.000 0.500
0.158 0.158 0.766
0.842 0.842 0.234
```

- SG: No. 12
- Calculated formation energy: -0.417 eV/f.u.
- Total magnetization: 0.42 Bohr magnetons per cell

(16)
## Li3Tl2PbBr8 (PBE)

Data for a relaxed Li3Tl2PbBr8 crystal.

The structure in POSCAR format:
```
Li3Tl2PbBr8
1.0
4.244 2.451 7.402
-4.244 2.451 7.402
0.000 -4.901 7.402
Li Tl Pb Br
3 2 1 8
Direct
0.018 0.491 0.491
0.491 0.018 0.491
0.491 0.491 0.018
0.505 0.505 0.505
0.885 0.885 0.885
0.126 0.126 0.126
0.244 0.244 0.719
0.244 0.719 0.244
0.268 0.268 0.268
0.299 0.763 0.763
0.719 0.244 0.244
0.754 0.754 0.754
0.763 0.299 0.763
0.763 0.763 0.299
```

- SG: No. 160
- Total DFT energy (no corrections): -2.989 eV per atom
- Total magnetization: 0.00 Bohr magnetons per cell

(17)
## ScMnSnHg2 (PBE)

Data for a relaxed ScMnSnHg2 crystal.

The structure in POSCAR format:
```
ScMnSnHg2
1.0
5.431 0.000 0.000
0.000 5.431 0.000
0.000 0.000 5.516
Sc Mn Sn Hg
1 1 1 2
Direct
0.000 0.000 0.000
0.500 0.500 0.000
0.000 0.000 0.500
0.000 0.500 0.500
0.500 0.000 0.500
```

- SG: No. 123
- Calculated formation energy: 3.940 eV/f.u.
- Total magnetization: 4.28 Bohr magnetons per cell

(18)
## NpMnCuH6 (PBE)

Data for a relaxed NpMnCuH6 crystal.

The structure in POSCAR format:
```
NpMnCuH6
1.0
4.397 0.000 0.000
-2.198 3.808 0.000
0.000 0.000 4.257
Np Mn Cu H
1 1 1 6
Direct
0.000 0.000 0.000
0.667 0.333 0.500
0.333 0.667 0.500
0.506 0.012 0.228
0.506 0.012 0.772
0.506 0.494 0.228
0.506 0.494 0.772
0.988 0.494 0.228
0.988 0.494 0.772
```

- SG: No. 187
- Total DFT energy (no corrections): -5.236 eV per atom
- Total magnetization: 1.79 Bohr magnetons per cell

(19)
## ReSe3 (PBE)

Data for a relaxed ReSe3 crystal.

The structure in POSCAR format:
```
ReSe3
1.0
2.654 0.000 0.000
0.000 3.173 0.000
0.000 0.000 10.302
Re Se
1 3
Direct
0.000 0.000 0.000
0.000 0.000 0.500
0.000 0.500 0.193
0.000 0.500 0.807
```

- SG: No. 47
- Distance to the lowest polymorph of the same formula: 0.2963 eV per atom
- Total magnetization: 0.00 Bohr magnetons per cell

(20)
## Li2Ca4Pt (PBE)

Data for a relaxed Li2Ca4Pt crystal.

The structure in POSCAR format:
```
Li2Ca4Pt
1.0
-2.764 2.764 8.212
2.764 -2.764 8.212
2.764 2.764 -8.212
Li Ca Pt
2 4 1
Direct
0.122 0.122 0.000
0.878 0.878 0.000
0.000 0.500 0.500
0.326 0.326 0.000
0.500 0.000 0.500
0.674 0.674 0.000
0.500 0.500 0.000
```

- SG: No. 139
- Calculated formation energy: -1.486 eV/f.u.
- Total magnetization: 0.00 Bohr magnetons per cell